DFT (PBE-GGA) results for a geometry-optimized RbTlRh2O structure.

Values from the calculation:
**ΔE_f (raw)**: 2.118 eV per atom
**Density**: 5.16 Mg/m³
**Size of the total moment**: 0.20 μB per atom

abc: 4.8646 4.8646 6.9532
angles: 90.00 90.00 90.00
Space group P4/mmm (No. 123)
One atom of each set of equivalent atoms:
Rb: 0.0000 0.0000 0.0000 [1 per cell]
Tl: 0.0000 0.0000 0.5000 [1 per cell]
Rh: 0.0000 0.5000 0.0000 [2 per cell]
O: 0.5000 0.5000 0.5000 [1 per cell]


DFT (PBE-GGA) results for a geometry-optimized MnPRh2 structure.

Values from the calculation:
**Density**: 8.90 Mg/m³
**Size of the total moment**: 0.76 μB per atom
**ΔH_f (0 K)**: 9 meV per atom

abc: 6.0161 6.0161 6.0161
angles: 90.00 90.00 90.00
Space group F-43m (No. 216)
One atom of each set of equivalent atoms:
Mn: 0.0000 0.0000 0.0000 [4 per cell]
P: 0.2500 0.2500 0.2500 [4 per cell]
Rh: 0.0000 0.0000 0.5000 [4 per cell]
Rh: 0.2500 0.2500 0.7500 [4 per cell]


DFT (PBE-GGA) results for a geometry-optimized PRhBr2 structure.

Values from the calculation:
**ΔE_f (raw)**: 0.722 eV per atom
**Density**: 6.06 Mg/m³
**Size of the total moment**: 0.00 μB per atom
**E above lowest polymorph**: 1.230 eV per atom

abc: 3.2270 4.2377 5.8877
angles: 90.00 90.00 90.00
Space group Pmmm (No. 47)
One atom of each set of equivalent atoms:
P: 0.0000 0.0000 0.0000 [1 per cell]
Rh: 0.5000 0.0000 0.5000 [1 per cell]
Br: 0.0000 0.5000 0.5000 [1 per cell]
Br: 0.5000 0.5000 0.0000 [1 per cell]


> Which of these has the lowest size of the total moment?

PRhBr2